1.
Ca2Sn6Rh9: optimized geometry, GGA-PBE.

Structure (POSCAR):
```
Ca2Sn6Rh9
1.0
5.8161 0.0000 0.0000
-2.9081 5.0369 0.0000
0.0000 0.0000 12.4361
Rh Ca Sn
9 2 6
Direct
0.0000 0.5000 0.5000
0.0000 0.5000 0.8327
0.5000 0.0000 0.8327
0.5000 0.0000 0.1673
0.5000 0.5000 0.1673
0.5000 0.5000 0.8327
0.0000 0.5000 0.1673
0.5000 0.0000 0.5000
0.5000 0.5000 0.5000
0.0000 0.0000 0.7693
0.0000 0.0000 0.2307
0.6667 0.3333 0.3345
0.3333 0.6667 0.3345
0.3333 0.6667 0.6655
0.3333 0.6667 0.0000
0.6667 0.3333 0.0000
0.6667 0.3333 0.6655
```

Theoretical density = 7.83 g/cm³
DFT formation energy = -6.60 eV per formula unit

=====

2.
Tb2NdMnN4: optimized geometry, GGA-PBE.

Structure (POSCAR):
```
Tb2NdMnN4
1.0
-2.4705 -1.1262 2.0850
-0.8303 -2.7509 -5.2798
6.8706 -8.6899 3.4471
Nd N Tb Mn
2 8 4 2
Direct
0.0993 0.1987 0.7500
0.9007 0.8013 0.2500
0.5815 0.1630 0.2500
0.2664 0.5329 0.3697
0.7336 0.4671 0.8697
0.0000 0.0000 0.5000
0.0000 0.0000 0.0000
0.2664 0.5329 0.1303
0.7336 0.4671 0.6303
0.4185 0.8370 0.7500
0.3684 0.7367 0.9555
0.3684 0.7367 0.5445
0.6316 0.2633 0.0445
0.6316 0.2633 0.4555
0.1650 0.3301 0.2500
0.8350 0.6699 0.7500
```

Theoretical density = 8.32 g/cm³
Formation energy without anion corrections = -9.250 eV/f.u.

=====

3.
NpUCrPt: optimized geometry, GGA-PBE.

Structure (POSCAR):
```
NpUCrPt
1.0
-1.3831 -4.3668 0.6713
3.0251 -3.4782 -0.4292
1.4045 -2.3223 3.7506
U Pt Cr Np
1 1 1 1
Direct
0.7500 0.7500 0.7500
0.0000 0.0000 0.0000
0.2500 0.2500 0.2500
0.5000 0.5000 0.5000
```

Theoretical density = 17.09 g/cm³
DFT formation energy = -0.74 eV per formula unit

=====

4.
TlV2Cd2: optimized geometry, GGA-PBE.

Structure (POSCAR):
```
TlV2Cd2
1.0
8.3103 0.0000 0.0000
0.0000 8.3103 0.0000
0.0000 0.0000 3.0621
V Cd Tl
4 4 2
Direct
0.9193 0.4193 0.5000
0.0807 0.5807 0.5000
0.5807 0.9193 0.5000
0.4193 0.0807 0.5000
0.7958 0.7042 0.0000
0.2042 0.2958 0.0000
0.2958 0.7958 0.0000
0.7042 0.2042 0.0000
0.5000 0.5000 0.0000
0.0000 0.0000 0.0000
```

Theoretical density = 8.34 g/cm³
DFT formation energy = 2.39 eV per formula unit
Energy above the lowest structure with this stoichiometry = 61 meV per atom

=====

5.
Pr3NdYHo: optimized geometry, GGA-PBE.

Structure (POSCAR):
```
Pr3NdYHo
1.0
6.0613 0.0000 0.0000
-3.0306 5.6606 0.0000
0.0000 0.0000 12.0654
Ho Pr Y Nd
2 6 2 2
Direct
0.5102 0.0204 0.2500
0.4898 0.9796 0.7500
0.6646 0.3292 0.9905
0.1687 0.3373 0.7500
0.8313 0.6627 0.2500
0.6646 0.3292 0.5095
0.3354 0.6708 0.4905
0.3354 0.6708 0.0095
0.1581 0.3162 0.2500
0.8419 0.6838 0.7500
0.0000 0.0000 0.5000
0.0000 0.0000 0.0000
```

Theoretical density = 6.58 g/cm³
DFT formation energy = 0.65 eV per formula unit

=====

6.
KRuBr2: optimized geometry, GGA-PBE.

Structure (POSCAR):
```
KRuBr2
1.0
3.8652 0.0000 0.0000
0.0000 3.8652 0.0000
0.0000 0.0000 7.8511
Br Ru K
2 1 1
Direct
0.5000 0.5000 0.2619
0.0000 0.0000 0.8617
0.5000 0.5000 0.9237
0.0000 0.0000 0.4527
```

Theoretical density = 4.25 g/cm³
Energy above the lowest structure with this stoichiometry = 180 meV per atom
Formation energy without anion corrections = -0.438 eV/f.u.

=====

7.
Ca2WAu: optimized geometry, GGA-PBE.

Structure (POSCAR):
```
Ca2WAu
1.0
5.3599 -0.0056 0.0236
4.4635 2.9669 0.0235
1.1796 0.3553 5.5787
Au Ca W
1 2 1
Direct
0.2500 0.2500 0.2500
0.5082 0.5082 0.5013
0.9918 0.9918 0.9987
0.7500 0.7500 0.7500
```

Theoretical density = 8.62 g/cm³
DFT formation energy = 2.50 eV per formula unit
Energy above the lowest structure with this stoichiometry = 327 meV per atom

=====

8.
SrInAu3: optimized geometry, GGA-PBE.

Structure (POSCAR):
```
SrInAu3
1.0
5.8432 0.0000 0.0000
0.0000 5.8432 0.0000
0.0000 0.0000 5.8432
Sr In Au
1 1 3
Direct
0.0000 0.0000 0.0000
0.5000 0.5000 0.5000
0.0000 0.0000 0.5000
0.0000 0.5000 0.0000
0.5000 0.0000 0.0000
```

Theoretical density = 6.60 g/cm³
DFT formation energy = 1.41 eV per formula unit
Energy above the lowest structure with this stoichiometry = 761 meV per atom

=====

9.
Ba5Pd2Pt: optimized geometry, GGA-PBE.

Structure (POSCAR):
```
Ba5Pd2Pt
1.0
7.8232 0.0000 0.0000
0.0000 10.6670 -3.6984
0.0000 0.6313 15.7528
Pt Ba Pd
4 20 8
Direct
0.5000 0.5000 0.5000
0.5000 0.0000 0.5000
0.0000 0.0000 0.0000
0.0000 0.5000 0.0000
0.2881 0.4866 0.8523
0.6907 0.7395 0.4834
0.2832 0.6689 0.6491
0.3104 0.0731 0.7018
0.7881 0.5134 0.6477
0.1896 0.0731 0.2018
0.2119 0.4866 0.3523
0.6896 0.9269 0.2982
0.8104 0.9269 0.7982
0.1907 0.2605 0.0166
0.6673 0.1206 0.0755
0.8093 0.7395 0.9834
0.2168 0.6689 0.1491
0.1673 0.8794 0.4245
0.7168 0.3311 0.3509
0.8327 0.1206 0.5755
0.3327 0.8794 0.9245
0.3093 0.2605 0.5166
0.7119 0.5134 0.1477
0.7832 0.3311 0.8509
0.0108 0.8696 0.6133
0.5108 0.1304 0.8867
0.4274 0.3261 0.1955
0.0726 0.3261 0.6955
0.5726 0.6739 0.8045
0.9274 0.6739 0.3045
0.9892 0.1304 0.3867
0.4892 0.8696 0.1133
```

Theoretical density = 5.45 g/cm³
DFT formation energy = -3.80 eV per formula unit

=====

10.
RbGaS2Cl: optimized geometry, GGA-PBE.

Structure (POSCAR):
```
RbGaS2Cl
1.0
-0.6029 4.7602 2.9565
-5.4605 -1.1669 0.7652
1.3386 -2.9599 5.0386
S Ga Cl Rb
2 1 1 1
Direct
0.5000 0.0000 0.0000
0.0000 0.5000 0.0000
0.5000 0.5000 0.5000
0.0000 0.0000 0.5000
0.0000 0.0000 0.0000
```

Theoretical density = 2.22 g/cm³
Energy above the lowest structure with this stoichiometry = 1180 meV per atom
Formation energy without anion corrections = 2.644 eV/f.u.

=====

11.
AgWAu2: optimized geometry, GGA-PBE.

Structure (POSCAR):
```
AgWAu2
1.0
5.0197 -0.0028 0.0059
4.2449 2.6793 0.0059
0.6059 0.1750 5.1200
W Au Ag
1 2 1
Direct
0.4988 0.4988 0.5179
0.7547 0.7547 0.7249
0.9996 0.9996 0.0149
0.2469 0.2469 0.2422
```

Theoretical density = 16.52 g/cm³
DFT formation energy = 1.61 eV per formula unit
Energy above the lowest structure with this stoichiometry = 172 meV per atom

=====

12.
CaInBr2: optimized geometry, GGA-PBE.

Structure (POSCAR):
```
CaInBr2
1.0
4.1091 0.0000 0.0000
0.0000 4.1092 0.0000
0.0000 0.0000 7.7620
Br In Ca
2 1 1
Direct
0.0000 0.0000 0.0263
0.5000 0.5000 0.3272
0.5000 0.5000 0.7611
0.0000 0.0000 0.3853
```

Theoretical density = 3.99 g/cm³
Energy above the lowest structure with this stoichiometry = 265 meV per atom
Formation energy without anion corrections = -4.052 eV/f.u.